## Sc4CoIr (PBE)

Data for Sc4CoIr after structural relaxation.

Cell: 7.301 7.301 5.643 Å, 107.43 107.43 111.45°
Fractional coordinates of all 12 atoms:
Sc  0.051  0.696  0.905
Sc  0.237  0.361  0.715
Sc  0.304  0.949  0.595
Sc  0.361  0.237  0.215
Sc  0.639  0.763  0.785
Sc  0.696  0.051  0.405
Sc  0.763  0.639  0.285
Sc  0.949  0.304  0.095
Co  0.000  0.000  0.250
Co  0.000  0.000  0.750
Ir  0.363  0.637  0.250
Ir  0.637  0.363  0.750

Values from the calculation:
**Spin magnetization**: 0.00 μB/f.u.
**Energy above the lowest structure with this stoichiometry**: 0.000 eV per formula unit
**Calculated formation energy**: -0.5138 eV/atom

***

## Sc2CoIr (PBE)

Data for Sc2CoIr after structural relaxation.

Cell: 6.891 6.891 5.707 Å, 90.00 90.00 90.00°
Fractional coordinates of all 16 atoms:
Sc  0.229  0.250  0.125
Sc  0.250  0.729  0.375
Sc  0.250  0.771  0.875
Sc  0.271  0.250  0.625
Sc  0.729  0.750  0.625
Sc  0.750  0.229  0.875
Sc  0.750  0.271  0.375
Sc  0.771  0.750  0.125
Co  0.000  0.000  0.000
Co  0.000  0.500  0.250
Co  0.500  0.000  0.750
Co  0.500  0.500  0.500
Ir  0.000  0.000  0.500
Ir  0.000  0.500  0.750
Ir  0.500  0.000  0.250
Ir  0.500  0.500  0.000

Values from the calculation:
**Spin magnetization**: 0.00 μB/f.u.
**Energy above the lowest structure with this stoichiometry**: 2.124 eV per formula unit
**Calculated formation energy**: -0.1897 eV/atom

***

## ScCo2Ir2 (PBE)

Data for ScCo2Ir2 after structural relaxation.

Cell: 3.701 3.701 11.442 Å, 90.00 90.00 90.00°
Fractional coordinates of all 10 atoms:
Sc  0.000  0.000  0.000
Sc  0.500  0.500  0.500
Co  0.000  0.500  0.250
Co  0.000  0.500  0.750
Co  0.500  0.000  0.250
Co  0.500  0.000  0.750
Ir  0.000  0.000  0.393
Ir  0.000  0.000  0.607
Ir  0.500  0.500  0.107
Ir  0.500  0.500  0.893

Values from the calculation:
**Spin magnetization**: 3.86 μB/f.u.
**Energy above the lowest structure with this stoichiometry**: 0.608 eV per formula unit
**Calculated formation energy**: -0.1044 eV/atom

***

## ScCoIr2 (PBE)

Data for ScCoIr2 after structural relaxation.

Cell: 3.869 3.869 7.782 Å, 90.00 90.00 90.00°
Fractional coordinates of all 8 atoms:
Sc  0.000  0.000  0.000
Sc  0.500  0.500  0.500
Co  0.000  0.500  0.250
Co  0.500  0.000  0.750
Ir  0.000  0.000  0.500
Ir  0.000  0.500  0.750
Ir  0.500  0.000  0.250
Ir  0.500  0.500  0.000

Values from the calculation:
**Spin magnetization**: 0.00 μB/f.u.
**Calculated formation energy**: -0.3487 eV/atom

***

## ScCoIr (PBE)

Data for ScCoIr after structural relaxation.

Cell: 4.175 4.175 3.117 Å, 90.00 90.00 120.00°
Fractional coordinates of all 3 atoms:
Sc  0.000  0.000  0.000
Co  0.667  0.333  0.500
Ir  0.333  0.667  0.500

Values from the calculation:
**Spin magnetization**: 0.92 μB/f.u.
**Energy above the lowest structure with this stoichiometry**: 0.704 eV per formula unit
**Calculated formation energy**: -0.3911 eV/atom

***

## ScCoIr2 (PBE)

Data for ScCoIr2 after structural relaxation.

Cell: 2.804 4.277 5.198 Å, 90.00 104.95 90.00°
Fractional coordinates of all 4 atoms:
Sc  0.000  0.000  0.000
Co  0.500  0.000  0.500
Ir  0.359  0.500  0.728
Ir  0.641  0.500  0.272

Values from the calculation:
**Spin magnetization**: 1.69 μB/f.u.
**Calculated formation energy**: -0.2808 eV/atom